Computed, not measured: a geometry-optimized NaPuP2 structure at the PBE-GGA level of DFT.

Cell and atoms, written as CIF:
```
data_NaPuP2
_chemical_formula_sum 'Na1 Pu1 P2'
_space_group_name_H-M_alt 'P 1'
_space_group_IT_number 1
_space_group_name_Hall 'P 1'
_cell_length_a 6.8262
_cell_length_b 6.8262
_cell_length_c 6.8262
_cell_angle_alpha 35.11
_cell_angle_beta 35.11
_cell_angle_gamma 35.11
loop_
_atom_site_label
_atom_site_type_symbol
_atom_site_fract_x
_atom_site_fract_y
_atom_site_fract_z
Na1 Na 0.0000 0.0000 0.0000
Pu1 Pu 0.5000 0.5000 0.5000
P1 P 0.2342 0.2342 0.2342
P2 P 0.7658 0.7658 0.7658
```

**Calculated formation energy**: -0.515 eV per atom
**Calculated volume**: 23.50 A^3/atom
**N(E_F)**: 12.680 states/eV/cell
**Total magnetization**: 3.30 μB per cell

=====

Computed, not measured: a geometry-optimized NaSmEu structure at the PBE-GGA level of DFT.

Cell and atoms, written as CIF:
```
data_NaSmEu
_chemical_formula_sum 'Na1 Sm1 Eu1'
_space_group_name_H-M_alt 'P 1'
_space_group_IT_number 1
_space_group_name_Hall 'P 1'
_cell_length_a 8.8797
_cell_length_b 8.8797
_cell_length_c 8.8797
_cell_angle_alpha 156.50
_cell_angle_beta 156.50
_cell_angle_gamma 33.48
loop_
_atom_site_label
_atom_site_type_symbol
_atom_site_fract_x
_atom_site_fract_y
_atom_site_fract_z
Na1 Na 0.0000 0.0000 0.0000
Sm1 Sm 0.6644 0.6644 0.0000
Eu1 Eu 0.3240 0.3240 0.0000
```

**Calculated formation energy**: 0.162 eV per atom
**Calculated volume**: 37.08 A^3/atom
**N(E_F)**: 6.330 states/eV/cell
**Total magnetization**: 7.61 μB per cell

=====

Computed, not measured: a geometry-optimized Ac2NiAs structure at the PBE-GGA level of DFT.

Cell and atoms, written as CIF:
```
data_Ac2NiAs
_chemical_formula_sum 'Ac2 Ni1 As1'
_space_group_name_H-M_alt 'P 1'
_space_group_IT_number 1
_space_group_name_Hall 'P 1'
_cell_length_a 5.3676
_cell_length_b 5.3676
_cell_length_c 5.3676
_cell_angle_alpha 60.00
_cell_angle_beta 60.00
_cell_angle_gamma 60.00
loop_
_atom_site_label
_atom_site_type_symbol
_atom_site_fract_x
_atom_site_fract_y
_atom_site_fract_z
Ac1 Ac 0.2500 0.2500 0.2500
Ac2 Ac 0.7500 0.7500 0.7500
Ni1 Ni 0.0000 0.0000 0.0000
As1 As 0.5000 0.5000 0.5000
```

**Calculated formation energy**: -0.521 eV per atom
**Calculated volume**: 27.34 A^3/atom
**N(E_F)**: 4.413 states/eV/cell
**Total magnetization**: 0.27 μB per cell

=====

Computed, not measured: a geometry-optimized Ba2GePtN structure at the PBE-GGA level of DFT.

Cell and atoms, written as CIF:
```
data_Ba2GePtN
_chemical_formula_sum 'Ba2 Ge1 Pt1 N1'
_space_group_name_H-M_alt 'P 1'
_space_group_IT_number 1
_space_group_name_Hall 'P 1'
_cell_length_a 5.9784
_cell_length_b 5.9784
_cell_length_c 3.7927
_cell_angle_alpha 90.00
_cell_angle_beta 90.00
_cell_angle_gamma 90.00
loop_
_atom_site_label
_atom_site_type_symbol
_atom_site_fract_x
_atom_site_fract_y
_atom_site_fract_z
Ba1 Ba 0.0000 0.5000 0.0000
Ba2 Ba 0.5000 0.0000 0.0000
Ge1 Ge 0.0000 0.0000 0.5000
Pt1 Pt 0.5000 0.5000 0.5000
N1 N 0.5000 0.5000 0.0000
```

**Calculated volume**: 27.11 A^3/atom
**N(E_F)**: 2.878 states/eV/cell
**Total magnetization**: 0.00 μB per cell
**Energy relative to the elements, uncorrected**: -0.484 eV/atom

=====

Computed, not measured: a geometry-optimized Pa2NbFeN5 structure at the PBE-GGA level of DFT.

Cell and atoms, written as CIF:
```
data_Pa2NbFeN5
_chemical_formula_sum 'Pa4 Nb2 Fe2 N10'
_space_group_name_H-M_alt 'P 1'
_space_group_IT_number 1
_space_group_name_Hall 'P 1'
_cell_length_a 6.6553
_cell_length_b 6.6553
_cell_length_c 10.1322
_cell_angle_alpha 90.00
_cell_angle_beta 90.00
_cell_angle_gamma 151.71
loop_
_atom_site_label
_atom_site_type_symbol
_atom_site_fract_x
_atom_site_fract_y
_atom_site_fract_z
Pa1 Pa 0.1056 0.8944 0.5000
Pa2 Pa 0.1432 0.8568 0.1276
Pa3 Pa 0.8568 0.1432 0.6276
Pa4 Pa 0.8944 0.1056 0.0000
Nb1 Nb 0.1953 0.8047 0.8276
Nb2 Nb 0.8047 0.1953 0.3276
Fe1 Fe 0.4698 0.5302 0.2725
Fe2 Fe 0.5302 0.4698 0.7725
N1 N 0.0469 0.9531 0.8842
N2 N 0.2828 0.7172 0.4796
N3 N 0.3247 0.6753 0.1847
N4 N 0.3682 0.6318 0.8152
N5 N 0.4869 0.5131 0.5927
N6 N 0.5131 0.4869 0.0927
N7 N 0.6318 0.3682 0.3152
N8 N 0.6753 0.3247 0.6847
N9 N 0.7172 0.2828 0.9796
N10 N 0.9531 0.0469 0.3842
```

**Calculated volume**: 11.82 A^3/atom
**N(E_F)**: 7.746 states/eV/cell
**Total magnetization**: 0.00 μB per cell
**Energy relative to the elements, uncorrected**: -1.143 eV/atom

=====

Computed, not measured: a geometry-optimized Y2HoU2Ru5 structure at the PBE-GGA level of DFT.

Cell and atoms, written as CIF:
```
data_Y2HoU2Ru5
_chemical_formula_sum 'Y4 Ho2 U4 Ru10'
_space_group_name_H-M_alt 'P 1'
_space_group_IT_number 1
_space_group_name_Hall 'P 1'
_cell_length_a 10.5955
_cell_length_b 10.5955
_cell_length_c 3.6001
_cell_angle_alpha 90.00
_cell_angle_beta 90.00
_cell_angle_gamma 90.00
loop_
_atom_site_label
_atom_site_type_symbol
_atom_site_fract_x
_atom_site_fract_y
_atom_site_fract_z
Y1 Y 0.1747 0.3253 0.0000
Y2 Y 0.3253 0.8253 0.0000
Y3 Y 0.6747 0.1747 0.0000
Y4 Y 0.8253 0.6747 0.0000
Ho1 Ho 0.0000 0.0000 0.0000
Ho2 Ho 0.5000 0.5000 0.0000
U1 U 0.1346 0.6346 0.0000
U2 U 0.3654 0.1346 0.0000
U3 U 0.6346 0.8654 0.0000
U4 U 0.8654 0.3654 0.0000
Ru1 Ru 0.0000 0.5000 0.5000
Ru2 Ru 0.0540 0.7872 0.5000
Ru3 Ru 0.2128 0.0540 0.5000
Ru4 Ru 0.2872 0.5540 0.5000
Ru5 Ru 0.4460 0.2872 0.5000
Ru6 Ru 0.5000 0.0000 0.5000
Ru7 Ru 0.5540 0.7128 0.5000
Ru8 Ru 0.7128 0.4460 0.5000
Ru9 Ru 0.7872 0.9460 0.5000
Ru10 Ru 0.9460 0.2128 0.5000
```

**Calculated formation energy**: -0.286 eV per atom
**Calculated volume**: 20.21 A^3/atom
**N(E_F)**: 13.017 states/eV/cell
**Total magnetization**: 0.00 μB per cell